A PBEsol-optimized structure of MoAuCl3, computed with SCAN.

- E: -25.18 eV per atom
- DOS at the Fermi energy: 5.29 states/eV per cell
- Formation energy (no corrections): 0.41 eV/atom

a b c (Å): 4.943 4.943 4.943
angles (deg): 90.00 90.00 90.00
Positions (direct):
Cl  0.500  0.000  0.000
Mo  0.500  0.500  0.500
Cl  0.000  0.500  0.000
Au  0.000  0.000  0.000
Cl  0.000  0.000  0.500

A PBEsol-optimized structure of RbBi, computed with SCAN.

- E: -50.09 eV per atom
- Formation energy: -0.86 eV per formula unit

a b c (Å): 7.471 13.872 14.743
angles (deg): 113.45 90.00 90.00
Positions (direct):
Rb  0.381  0.355  0.877
Rb  0.141  0.451  0.150
Bi  0.366  0.186  0.072
Bi  0.299  0.617  0.424
Rb  0.859  0.549  0.850
Rb  0.924  0.189  0.655
Bi  0.874  0.865  0.106
Rb  0.304  0.966  0.606
Bi  0.634  0.814  0.928
Bi  0.934  0.270  0.397
Bi  0.626  0.365  0.106
Rb  0.619  0.645  0.123
Bi  0.434  0.230  0.603
Bi  0.799  0.883  0.576
Rb  0.424  0.311  0.345
Bi  0.126  0.135  0.894
Bi  0.566  0.770  0.397
Rb  0.641  0.049  0.850
Bi  0.201  0.117  0.424
Rb  0.576  0.689  0.655
Rb  0.804  0.534  0.394
Rb  0.119  0.855  0.877
Rb  0.196  0.466  0.606
Rb  0.359  0.951  0.150
Rb  0.696  0.034  0.394
Bi  0.701  0.383  0.576
Bi  0.066  0.730  0.603
Bi  0.866  0.314  0.928
Bi  0.374  0.635  0.894
Rb  0.881  0.145  0.123
Bi  0.134  0.686  0.072
Rb  0.076  0.811  0.345

A PBEsol-optimized structure of SnSeSN2, computed with SCAN.

- E: -15.42 eV per atom
- DOS at the Fermi energy: 2.03 states/eV per cell
- Formation energy (no corrections): 1.42 eV/atom

a b c (Å): 4.015 4.015 5.704
angles (deg): 90.00 90.00 90.00
Positions (direct):
N  0.000  0.500  0.000
S  0.500  0.500  0.500
N  0.500  0.000  0.000
Se  0.000  0.000  0.500
Sn  0.000  0.000  0.000

A PBEsol-optimized structure of La3Ru, computed with SCAN.

- E: -41.10 eV per atom
- Formation energy: -0.26 eV per formula unit
- DOS at the Fermi energy: 3.80 states/eV per cell

a b c (Å): 3.519 3.752 8.496
angles (deg): 90.00 97.25 90.00
Positions (direct):
La  0.088  0.000  0.306
La  0.912  0.000  0.694
Ru  0.500  0.500  0.500
La  0.500  0.500  0.000

A PBEsol-optimized structure of BaSr2, computed with SCAN.

- E: -28.02 eV per atom
- Formation energy: 0.05 eV per formula unit
- DOS at the Fermi energy: 2.71 states/eV per cell
- Energy relative to the lowest polymorph listed for this composition: 27 meV per atom

a b c (Å): 4.251 6.019 7.365
angles (deg): 114.12 106.77 90.00
Positions (direct):
Ba  0.000  0.000  0.000
Sr  0.332  0.332  0.664
Sr  0.668  0.668  0.336

A PBEsol-optimized structure of In3Re, computed with SCAN.

- E: -42.22 eV per atom
- Formation energy: 2.39 eV per formula unit
- DOS at the Fermi energy: 1.70 states/eV per cell
- Energy relative to the lowest polymorph listed for this composition: 0 meV per atom

a b c (Å): 3.645 4.681 5.421
angles (deg): 115.57 109.64 90.00
Positions (direct):
In  0.500  0.000  0.000
In  0.260  0.260  0.520
In  0.740  0.740  0.480
Re  0.000  0.500  0.000

A PBEsol-optimized structure of TmSn3, computed with SCAN.

- E: -40.26 eV per atom
- Formation energy: -1.43 eV per formula unit
- DOS at the Fermi energy: 3.37 states/eV per cell

a b c (Å): 4.352 4.309 11.035
angles (deg): 90.00 101.37 90.00
Positions (direct):
Sn  0.976  0.000  0.953
Sn  0.598  0.000  0.196
Sn  0.735  0.500  0.469
Sn  0.099  0.500  0.197
Sn  0.870  0.500  0.739
Tm  0.482  0.500  0.965
Sn  0.357  0.000  0.715
Tm  0.209  0.000  0.418

A PBEsol-optimized structure of BiBRu2W, computed with SCAN.

- E: -42.69 eV per atom
- Formation energy: 11.92 eV per formula unit
- DOS at the Fermi energy: 4.44 states/eV per cell

a b c (Å): 4.621 4.621 5.286
angles (deg): 90.00 90.00 90.00
Positions (direct):
W  0.000  0.000  0.000
B  0.500  0.500  0.500
Bi  0.000  0.000  0.500
Ru  0.000  0.500  0.000
Ru  0.500  0.000  0.000

A PBEsol-optimized structure of SrAsOs2, computed with SCAN.

- E: -46.28 eV per atom
- Formation energy: 1.10 eV per formula unit
- DOS at the Fermi energy: 3.68 states/eV per cell

a b c (Å): 3.929 4.808 5.084
angles (deg): 92.65 90.00 90.00
Positions (direct):
As  0.500  0.500  0.000
Os  0.000  0.516  0.730
Os  0.000  0.484  0.270
Sr  0.500  0.000  0.500

A PBEsol-optimized structure of Cr2ReP, computed with SCAN.

- E: -29.63 eV per atom
- Formation energy: -0.27 eV per formula unit
- DOS at the Fermi energy: 2.26 states/eV per cell

a b c (Å): 2.934 3.979 4.756
angles (deg): 114.73 107.97 90.00
Positions (direct):
Cr  0.763  0.263  0.527
Re  0.240  0.740  0.481
Cr  0.004  0.004  0.008
P  0.493  0.493  0.985

A PBEsol-optimized structure of MnCoPt, computed with SCAN.

- E: -35.32 eV per atom
- Formation energy: -0.21 eV per formula unit
- DOS at the Fermi energy: 3.22 states/eV per cell

a b c (Å): 2.596 2.596 6.203
angles (deg): 90.00 90.00 120.00
Positions (direct):
Pt  0.667  0.333  0.336
Mn  0.333  0.667  0.685
Co  0.000  0.000  0.980

A PBEsol-optimized structure of LuPO4, computed with SCAN.

- E: -18.51 eV per atom
- DOS at the Fermi energy: 0.00 states/eV per cell
- Formation energy (no corrections): -3.40 eV/atom
- Energy relative to the lowest polymorph listed for this composition: 0 meV per atom

a b c (Å): 5.607 5.607 5.607
angles (deg): 106.09 106.09 116.48
Positions (direct):
O  0.415  0.093  0.678
P  0.000  0.000  0.000
P  0.250  0.750  0.500
Lu  0.750  0.250  0.500
O  0.263  0.585  0.678
O  0.907  0.585  0.322
Lu  0.500  0.500  0.000
O  0.835  0.013  0.178
O  0.415  0.737  0.322
O  0.987  0.165  0.822
O  0.343  0.165  0.178
O  0.835  0.657  0.822

A PBEsol-optimized structure of TaAgS3, computed with SCAN.

- E: -26.11 eV per atom
- DOS at the Fermi energy: 0.25 states/eV per cell
- Formation energy (no corrections): -0.74 eV/atom

a b c (Å): 3.331 7.154 7.701
angles (deg): 90.00 90.00 103.46
Positions (direct):
Ag  0.000  0.000  0.259
S  0.328  0.657  0.329
Ta  0.737  0.475  0.510
S  0.328  0.657  0.691
Ta  0.263  0.525  0.010
S  0.102  0.204  0.510
S  0.898  0.796  0.010
S  0.672  0.343  0.191
Ag  0.000  0.000  0.759
S  0.672  0.343  0.829

A PBEsol-optimized structure of NiHgPb2, computed with SCAN.

- E: -58.82 eV per atom
- Formation energy: 0.62 eV per formula unit
- DOS at the Fermi energy: 1.78 states/eV per cell

a b c (Å): 3.248 3.248 8.690
angles (deg): 90.00 90.00 90.00
Positions (direct):
Pb  0.000  0.000  0.310
Hg  0.500  0.500  0.000
Pb  0.000  0.000  0.690
Ni  0.500  0.500  0.500

A PBEsol-optimized structure of Al2AgCl, computed with SCAN.

- E: -13.59 eV per atom
- DOS at the Fermi energy: 1.50 states/eV per cell
- Formation energy (no corrections): 0.13 eV/atom
- Energy relative to the lowest polymorph listed for this composition: 0 meV per atom

a b c (Å): 6.221 6.815 6.221
angles (deg): 62.84 90.00 117.16
Positions (direct):
Ag  0.000  0.000  0.000
Al  0.375  0.250  0.099
Cl  0.500  0.000  0.500
Al  0.651  0.750  0.375
Cl  0.250  0.500  0.250
Ag  0.750  0.500  0.750
Al  0.099  0.750  0.875
Al  0.875  0.250  0.651

A PBEsol-optimized structure of LiCuOF, computed with SCAN.

- E: -8.69 eV per atom
- DOS at the Fermi energy: 0.62 states/eV per cell
- Formation energy (no corrections): -1.85 eV/atom

a b c (Å): 2.759 2.759 4.838
angles (deg): 90.00 90.00 90.00
Positions (direct):
F  0.000  0.000  0.500
Li  0.500  0.500  0.500
Cu  0.000  0.000  0.000
O  0.500  0.500  0.000

A PBEsol-optimized structure of K2CaAs2O7, computed with SCAN.

- E: -11.26 eV per atom
- DOS at the Fermi energy: 0.00 states/eV per cell
- Formation energy (no corrections): -2.07 eV/atom

a b c (Å): 5.850 9.234 14.612
angles (deg): 106.03 90.00 90.00
Positions (direct):
O  0.261  0.526  0.884
As  0.294  0.685  0.472
O  0.761  0.474  0.616
As  0.242  0.826  0.302
O  0.009  0.728  0.250
O  0.995  0.264  0.228
O  0.135  0.715  0.572
O  0.991  0.272  0.750
O  0.076  0.283  0.003
O  0.296  0.841  0.928
K  0.769  0.532  0.333
As  0.206  0.685  0.972
K  0.749  0.968  0.384
O  0.739  0.474  0.116
O  0.239  0.526  0.384
As  0.706  0.315  0.528
K  0.231  0.468  0.667
O  0.635  0.285  0.928
K  0.731  0.532  0.833
O  0.704  0.159  0.072
Ca  0.273  0.267  0.863
O  0.005  0.736  0.772
O  0.241  0.009  0.305
O  0.865  0.285  0.428
O  0.924  0.717  0.997
Ca  0.773  0.733  0.637
Ca  0.727  0.733  0.137
O  0.424  0.283  0.503
As  0.258  0.826  0.802
O  0.495  0.736  0.272
O  0.796  0.159  0.572
Ca  0.227  0.267  0.363
O  0.491  0.728  0.750
As  0.794  0.315  0.028
K  0.251  0.032  0.616
As  0.742  0.174  0.198
O  0.259  0.009  0.805
O  0.759  0.991  0.695
As  0.758  0.174  0.698
K  0.249  0.032  0.116
O  0.204  0.841  0.428
K  0.751  0.968  0.884
O  0.576  0.717  0.497
O  0.509  0.272  0.250
O  0.365  0.715  0.072
O  0.741  0.991  0.195
K  0.269  0.468  0.167
O  0.505  0.264  0.728

A PBEsol-optimized structure of Zr2AgW, computed with SCAN.

- E: -40.56 eV per atom
- Formation energy: 0.20 eV per formula unit
- DOS at the Fermi energy: 2.80 states/eV per cell

a b c (Å): 3.394 4.674 4.674
angles (deg): 90.00 90.00 90.00
Positions (direct):
Ag  0.500  0.000  0.000
Zr  0.000  0.000  0.500
W  0.500  0.500  0.500
Zr  0.000  0.500  0.000

A PBEsol-optimized structure of SrCaCo2, computed with SCAN.

- E: -16.01 eV per atom
- Formation energy: 2.49 eV per formula unit
- DOS at the Fermi energy: 2.60 states/eV per cell
- Energy relative to the lowest polymorph listed for this composition: 55 meV per atom

a b c (Å): 4.159 4.159 5.540
angles (deg): 112.05 112.05 90.00
Positions (direct):
Co  0.000  0.000  0.000
Ca  0.250  0.750  0.500
Co  0.750  0.250  0.500
Sr  0.500  0.500  0.000

A PBEsol-optimized structure of SrMg3Tl, computed with SCAN.

- E: -20.89 eV per atom
- Formation energy: 5.13 eV per formula unit
- DOS at the Fermi energy: 7.39 states/eV per cell

a b c (Å): 6.213 6.213 6.213
angles (deg): 90.00 90.00 90.00
Positions (direct):
Tl  0.500  0.500  0.500
Mg  0.000  0.000  0.500
Mg  0.000  0.500  0.000
Mg  0.500  0.000  0.000
Sr  0.000  0.000  0.000